No. 1
Below is a geometry-optimized Nb2OsPb structure, with properties calculated at the PBE-GGA level.

V in Å³/cell: 292.3
M_tot in μB per formula unit: 0.0
Space-group type: F-43m
Density in g cm⁻³: 13.25

Cell: 6.6366 6.6366 6.6366 Å, 90.00 90.00 90.00°
Last column: nearest neighbours and their distance in Å.
Sites, in units of the cell vectors:
Nb1 0.0000 0.0000 0.0000  4 Nb 2.87, 4 Os 2.87
Nb2 0.0000 0.5000 0.5000  4 Nb 2.87, 4 Os 2.87
Nb3 0.2500 0.2500 0.2500  4 Nb 2.87, 4 Pb 2.87
Nb4 0.2500 0.7500 0.7500  4 Nb 2.87, 4 Pb 2.87
Nb5 0.5000 0.0000 0.5000  4 Nb 2.87, 4 Os 2.87
Nb6 0.5000 0.5000 0.0000  4 Nb 2.87, 4 Os 2.87
Nb7 0.7500 0.2500 0.7500  4 Nb 2.87, 4 Pb 2.87
Nb8 0.7500 0.7500 0.2500  4 Nb 2.87, 4 Pb 2.87
Os1 0.2500 0.2500 0.7500  4 Nb 2.87, 4 Pb 2.87
Os2 0.2500 0.7500 0.2500  4 Nb 2.87, 4 Pb 2.87
Os3 0.7500 0.2500 0.2500  4 Nb 2.87, 4 Pb 2.87
Os4 0.7500 0.7500 0.7500  4 Nb 2.87, 4 Pb 2.87
Pb1 0.0000 0.0000 0.5000  4 Nb 2.87, 4 Os 2.87
Pb2 0.0000 0.5000 0.0000  4 Nb 2.87, 4 Os 2.87
Pb3 0.5000 0.0000 0.0000  4 Nb 2.87, 4 Os 2.87
Pb4 0.5000 0.5000 0.5000  4 Nb 2.87, 4 Os 2.87

No. 2
Below is a geometry-optimized NbOsPd structure, with properties calculated at the PBE-GGA level.

V in Å³/cell: 226.8
Energy above the lowest structure with this stoichiometry in meV per atom: 48
M_tot in μB per formula unit: 0.0
DFT formation energy in kcal/mol of atoms: 10.82
Space-group type: F-43m
Density in g cm⁻³: 11.41

Cell: 6.0988 6.0988 6.0988 Å, 90.00 90.00 90.00°
Last column: nearest neighbours and their distance in Å.
Sites, in units of the cell vectors:
Nb1 0.0000 0.0000 0.0000  4 Os 2.64
Nb2 0.0000 0.5000 0.5000  4 Os 2.64
Nb3 0.5000 0.0000 0.5000  4 Os 2.64
Nb4 0.5000 0.5000 0.0000  4 Os 2.64
Os1 0.2500 0.2500 0.2500  4 Pd 2.64, 4 Nb 2.64
Os2 0.2500 0.7500 0.7500  4 Nb 2.64, 4 Pd 2.64
Os3 0.7500 0.2500 0.7500  4 Nb 2.64, 4 Pd 2.64
Os4 0.7500 0.7500 0.2500  4 Nb 2.64, 4 Pd 2.64
Pd1 0.0000 0.0000 0.5000  4 Os 2.64
Pd2 0.0000 0.5000 0.0000  4 Os 2.64
Pd3 0.5000 0.0000 0.0000  4 Os 2.64
Pd4 0.5000 0.5000 0.5000  4 Os 2.64

No. 3
Below is a geometry-optimized NbOsPd structure, with properties calculated at the PBE-GGA level.

V in Å³/cell: 223.6
Energy above the lowest structure with this stoichiometry in meV per atom: 0
M_tot in μB per formula unit: 0.0
DFT formation energy in kcal/mol of atoms: 9.71
Space-group type: F-43m
Density in g cm⁻³: 11.57

Cell: 6.0692 6.0692 6.0692 Å, 90.00 90.00 90.00°
Last column: nearest neighbours and their distance in Å.
Sites, in units of the cell vectors:
Nb1 0.0000 0.0000 0.0000  4 Os 2.63, 4 Pd 2.63
Nb2 0.0000 0.5000 0.5000  4 Os 2.63, 4 Pd 2.63
Nb3 0.5000 0.0000 0.5000  4 Os 2.63, 4 Pd 2.63
Nb4 0.5000 0.5000 0.0000  4 Os 2.63, 4 Pd 2.63
Os1 0.2500 0.2500 0.2500  4 Nb 2.63
Os2 0.2500 0.7500 0.7500  4 Nb 2.63
Os3 0.7500 0.2500 0.7500  4 Nb 2.63
Os4 0.7500 0.7500 0.2500  4 Nb 2.63
Pd1 0.2500 0.2500 0.7500  4 Nb 2.63
Pd2 0.2500 0.7500 0.2500  4 Nb 2.63
Pd3 0.7500 0.2500 0.2500  4 Nb 2.63
Pd4 0.7500 0.7500 0.7500  4 Nb 2.63

No. 4
Below is a geometry-optimized PmNb2Os2 structure, with properties calculated at the PBE-GGA level.

V in Å³/cell: 209.0
M_tot in μB per formula unit: 0.0
DFT formation energy in kcal/mol of atoms: -5.19
Space-group type: I4/mmm
Density in g cm⁻³: 11.30

Cell: 4.4222 4.4222 10.6888 Å, 90.00 90.00 90.00°
Last column: nearest neighbours and their distance in Å.
Sites, in units of the cell vectors:
Pm1 0.0000 0.0000 0.0000  8 Os 3.38, 8 Nb 3.47
Pm2 0.5000 0.5000 0.5000  8 Os 3.38, 8 Nb 3.47
Nb1 0.0000 0.5000 0.2500  4 Os 2.62
Nb2 0.0000 0.5000 0.7500  4 Os 2.62
Nb3 0.5000 0.0000 0.2500  4 Os 2.62
Nb4 0.5000 0.0000 0.7500  4 Os 2.62
Os1 0.0000 0.0000 0.3808  1 Os 2.55, 4 Nb 2.62
Os2 0.0000 0.0000 0.6192  1 Os 2.55, 4 Nb 2.62
Os3 0.5000 0.5000 0.1192  1 Os 2.55, 4 Nb 2.62
Os4 0.5000 0.5000 0.8808  1 Os 2.55, 4 Nb 2.62

No. 5
Below is a geometry-optimized NbOsPt structure, with properties calculated at the PBE-GGA level.

V in Å³/cell: 223.9
Energy above the lowest structure with this stoichiometry in meV per atom: 0
M_tot in μB per formula unit: 0.0
DFT formation energy in kcal/mol of atoms: 4.88
Space-group type: F-43m
Density in g cm⁻³: 14.19

Cell: 6.0724 6.0724 6.0724 Å, 90.00 90.00 90.00°
Last column: nearest neighbours and their distance in Å.
Sites, in units of the cell vectors:
Nb1 0.0000 0.0000 0.0000  4 Os 2.63, 4 Pt 2.63
Nb2 0.0000 0.5000 0.5000  4 Os 2.63, 4 Pt 2.63
Nb3 0.5000 0.0000 0.5000  4 Os 2.63, 4 Pt 2.63
Nb4 0.5000 0.5000 0.0000  4 Os 2.63, 4 Pt 2.63
Os1 0.2500 0.2500 0.2500  4 Nb 2.63
Os2 0.2500 0.7500 0.7500  4 Nb 2.63
Os3 0.7500 0.2500 0.7500  4 Nb 2.63
Os4 0.7500 0.7500 0.2500  4 Nb 2.63
Pt1 0.2500 0.2500 0.7500  4 Nb 2.63
Pt2 0.2500 0.7500 0.2500  4 Nb 2.63
Pt3 0.7500 0.2500 0.2500  4 Nb 2.63
Pt4 0.7500 0.7500 0.7500  4 Nb 2.63

No. 6
Below is a geometry-optimized Nb6OsPt structure, with properties calculated at the PBE-GGA level.

V in Å³/cell: 139.2
M_tot in μB per formula unit: 0.0
DFT formation energy in kcal/mol of atoms: -7.73
Space-group type: Pm-3
Density in g cm⁻³: 11.25

Cell: 5.1823 5.1823 5.1823 Å, 90.00 90.00 90.00°
Last column: nearest neighbours and their distance in Å.
Sites, in units of the cell vectors:
Nb1 0.0000 0.2524 0.5000  2 Nb 2.57-2.62
Nb2 0.0000 0.7476 0.5000  2 Nb 2.57-2.62
Nb3 0.2524 0.5000 0.0000  2 Nb 2.57-2.62
Nb4 0.5000 0.0000 0.2524  2 Nb 2.57-2.62
Nb5 0.5000 0.0000 0.7476  2 Nb 2.57-2.62
Nb6 0.7476 0.5000 0.0000  2 Nb 2.57-2.62
Os1 0.5000 0.5000 0.5000  12 Nb 2.89
Pt1 0.0000 0.0000 0.0000  12 Nb 2.90

No. 7
Below is a geometry-optimized NbOsPt2 structure, with properties calculated at the PBE-GGA level.

V in Å³/cell: 254.9
M_tot in μB per formula unit: 0.3
DFT formation energy in kcal/mol of atoms: -1.05
Space-group type: F-43m
Density in g cm⁻³: 17.55

Cell: 6.3402 6.3402 6.3402 Å, 90.00 90.00 90.00°
Last column: nearest neighbours and their distance in Å.
Sites, in units of the cell vectors:
Nb1 0.0000 0.0000 0.0000  4 Os 2.75, 4 Pt 2.75
Nb2 0.0000 0.5000 0.5000  4 Os 2.75, 4 Pt 2.75
Nb3 0.5000 0.0000 0.5000  4 Os 2.75, 4 Pt 2.75
Nb4 0.5000 0.5000 0.0000  4 Os 2.75, 4 Pt 2.75
Os1 0.2500 0.2500 0.2500  4 Nb 2.75, 4 Pt 2.75
Os2 0.2500 0.7500 0.7500  4 Nb 2.75, 4 Pt 2.75
Os3 0.7500 0.2500 0.7500  4 Nb 2.75, 4 Pt 2.75
Os4 0.7500 0.7500 0.2500  4 Nb 2.75, 4 Pt 2.75
Pt1 0.0000 0.0000 0.5000  4 Os 2.75, 4 Pt 2.75
Pt2 0.0000 0.5000 0.0000  4 Os 2.75, 4 Pt 2.75
Pt3 0.2500 0.2500 0.7500  4 Nb 2.75, 4 Pt 2.75
Pt4 0.2500 0.7500 0.2500  4 Nb 2.75, 4 Pt 2.75
Pt5 0.5000 0.0000 0.0000  4 Os 2.75, 4 Pt 2.75
Pt6 0.5000 0.5000 0.5000  4 Os 2.75, 4 Pt 2.75
Pt7 0.7500 0.2500 0.2500  4 Nb 2.75, 4 Pt 2.75
Pt8 0.7500 0.7500 0.7500  4 Nb 2.75, 4 Pt 2.75

No. 8
Below is a geometry-optimized NbOsPt structure, with properties calculated at the PBE-GGA level.

V in Å³/cell: 226.8
Energy above the lowest structure with this stoichiometry in meV per atom: 86
M_tot in μB per formula unit: 0.0
DFT formation energy in kcal/mol of atoms: 6.86
Space-group type: F-43m
Density in g cm⁻³: 14.01

Cell: 6.0980 6.0980 6.0980 Å, 90.00 90.00 90.00°
Last column: nearest neighbours and their distance in Å.
Sites, in units of the cell vectors:
Nb1 0.0000 0.0000 0.0000  4 Os 2.64
Nb2 0.0000 0.5000 0.5000  4 Os 2.64
Nb3 0.5000 0.0000 0.5000  4 Os 2.64
Nb4 0.5000 0.5000 0.0000  4 Os 2.64
Os1 0.2500 0.2500 0.2500  4 Nb 2.64, 4 Pt 2.64
Os2 0.2500 0.7500 0.7500  4 Nb 2.64, 4 Pt 2.64
Os3 0.7500 0.2500 0.7500  4 Nb 2.64, 4 Pt 2.64
Os4 0.7500 0.7500 0.2500  4 Nb 2.64, 4 Pt 2.64
Pt1 0.0000 0.0000 0.5000  4 Os 2.64
Pt2 0.0000 0.5000 0.0000  4 Os 2.64
Pt3 0.5000 0.0000 0.0000  4 Os 2.64
Pt4 0.5000 0.5000 0.5000  4 Os 2.64

No. 9
Below is a geometry-optimized Nb2Sn2OsPt structure, with properties calculated at the PBE-GGA level.

V in Å³/cell: 244.0
M_tot in μB per formula unit: 0.0
Space-group type: I-42d
Density in g cm⁻³: 11.01

Cell: 7.6432 7.6432 7.6432 Å, 131.68 131.68 70.73°
Last column: nearest neighbours and their distance in Å.
Sites, in units of the cell vectors:
Nb1 0.1159 0.1250 0.4909  2 Os 2.67, 2 Pt 2.74
Nb2 0.3750 0.8841 0.0091  2 Os 2.67, 2 Pt 2.74
Nb3 0.6341 0.6250 0.5091  2 Os 2.67, 2 Pt 2.74
Nb4 0.8750 0.3659 0.9909  2 Os 2.67, 2 Pt 2.74
Sn1 0.1240 0.6250 0.9990  2 Os 2.70, 2 Pt 2.71
Sn2 0.3750 0.3740 0.4990  2 Os 2.70, 2 Pt 2.71
Sn3 0.6260 0.1250 0.0010  2 Os 2.70, 2 Pt 2.71
Sn4 0.8750 0.8760 0.5010  2 Os 2.70, 2 Pt 2.71
Os1 0.0000 0.0000 0.0000  4 Nb 2.67, 4 Sn 2.70
Os2 0.7500 0.2500 0.5000  4 Nb 2.67, 4 Sn 2.70
Pt1 0.2500 0.7500 0.5000  4 Sn 2.71, 4 Nb 2.74
Pt2 0.5000 0.5000 0.0000  4 Sn 2.71, 4 Nb 2.74

No. 10
Below is a geometry-optimized NbReOs structure, with properties calculated at the PBE-GGA level.

V in Å³/cell: 222.7
Energy above the lowest structure with this stoichiometry in meV per atom: 0
M_tot in μB per formula unit: 0.0
DFT formation energy in kcal/mol of atoms: 11.45
Space-group type: F-43m
Density in g cm⁻³: 14.00

Cell: 6.0614 6.0614 6.0614 Å, 90.00 90.00 90.00°
Last column: nearest neighbours and their distance in Å.
Sites, in units of the cell vectors:
Nb1 0.0000 0.0000 0.0000  4 Os 2.62
Nb2 0.0000 0.5000 0.5000  4 Os 2.62
Nb3 0.5000 0.0000 0.5000  4 Os 2.62
Nb4 0.5000 0.5000 0.0000  4 Os 2.62
Re1 0.0000 0.0000 0.5000  4 Os 2.62
Re2 0.0000 0.5000 0.0000  4 Os 2.62
Re3 0.5000 0.0000 0.0000  4 Os 2.62
Re4 0.5000 0.5000 0.5000  4 Os 2.62
Os1 0.2500 0.2500 0.2500  4 Nb 2.62, 4 Re 2.62
Os2 0.2500 0.7500 0.7500  4 Nb 2.62, 4 Re 2.62
Os3 0.7500 0.2500 0.7500  4 Nb 2.62, 4 Re 2.62
Os4 0.7500 0.7500 0.2500  4 Nb 2.62, 4 Re 2.62

| no. | raw total energy (eV per atom) |
| --- | --- |
| 1 | -8.36 |
| 2 | -8.36 |
| 3 | -8.41 |
| 4 | -9.70 |
| 5 | -8.91 |
| 6 | -10.07 |
| 7 | -8.40 |
| 8 | -8.83 |
| 9 | -7.96 |
| 10 | -10.75 |